1.
DFT (PBE-GGA) results for Zn2HgRuAu after structural relaxation.

Unit cell a=4.8379 b=4.8379 c=5.1695 alpha=90.00 beta=90.00 gamma=90.00
Closest atoms and distances in Å follow each position.
Space group P4/mmm (No. 123)
Asymmetric unit:
Zn 0.0000 0.5000 0.0000 [2 per cell]  2 Hg 2.42
Hg 0.0000 0.0000 0.0000 [1 per cell]  4 Zn 2.42, 2 Au 2.58
Ru 0.5000 0.5000 0.5000 [1 per cell]  4 Au 3.42, 8 Zn 3.54
Au 0.0000 0.0000 0.5000 [1 per cell]  2 Hg 2.58

Values from the calculation:
Energy of formation from the pure elements: 1.254 eV/atom
Uncorrected energy: -9.13 eV/cell

=====

2.
DFT (PBE-GGA) results for Rb2CrPdI6 after structural relaxation.

Unit cell a=11.3809 b=11.3809 c=11.3809 alpha=90.00 beta=90.00 gamma=90.00
Closest atoms and distances in Å follow each position.
Space group Fm-3m (No. 225)
Asymmetric unit:
Rb 0.2500 0.2500 0.2500 [8 per cell]  12 I 4.02
Cr 0.0000 0.0000 0.0000 [4 per cell]  6 I 2.82
Pd 0.0000 0.0000 0.5000 [4 per cell]  6 I 2.87
I 0.0000 0.0000 0.2475 [24 per cell]  1 Cr 2.82, 1 Pd 2.87

Values from the calculation:
Uncorrected energy: -131.65 eV/cell
Formation energy without anion corrections: -0.686 eV/atom

=====

3.
DFT (PBE-GGA) results for Cu2Rh5O12 after structural relaxation.

Unit cell a=11.9419 b=5.4188 c=6.4604 alpha=90.00 beta=105.57 gamma=90.00
Closest atoms and distances in Å follow each position.
Space group C2/m (No. 12)
Asymmetric unit:
Cu 0.0000 0.2384 0.0000 [4 per cell]  6 O 1.88-2.02
Rh 0.0000 0.0000 0.5000 [2 per cell]  2 O 1.87
Rh 0.1725 0.5000 0.3450 [4 per cell]  5 O 2.03-2.06
Rh 0.1773 0.5000 0.8306 [4 per cell]  7 O 2.06-2.22
O 0.0009 0.5000 0.7950 [4 per cell]  2 Cu 1.94, 2 Rh 2.03-2.06
O 0.0066 0.0000 0.7930 [4 per cell]  1 Rh 1.87, 2 Cu 1.88
O 0.1500 0.2517 0.5719 [8 per cell]  3 Rh 2.06-2.20
O 0.1753 0.2654 0.0947 [8 per cell]  1 Cu 2.02, 3 Rh 2.06-2.22

Values from the calculation:
Uncorrected energy: -224.71 eV/cell
Formation energy without anion corrections: -0.416 eV/atom

=====

4.
DFT (PBE-GGA) results for La3IrI after structural relaxation.

Unit cell a=7.6561 b=4.3188 c=11.6530 alpha=90.00 beta=105.08 gamma=90.00
Closest atoms and distances in Å follow each position.
Space group P2_1/m (No. 11)
Asymmetric unit:
La 0.0407 0.2500 0.3601 [2 per cell]  3 Ir 2.89-3.04
La 0.3964 0.2500 0.8699 [2 per cell]  1 Ir 2.82
La 0.4260 0.7500 0.6070 [2 per cell]  2 Ir 2.80
Ir 0.2039 0.2500 0.6277 [2 per cell]  6 La 2.80-3.04
I 0.2468 0.2500 0.1179 [2 per cell]  5 La 3.37-3.57

Values from the calculation:
Uncorrected energy: -57.38 eV/cell
Formation energy without anion corrections: -0.699 eV/atom
Energy above the most stable polymorph in this dataset: 0.0 meV/atom

=====

5.
DFT (PBE-GGA) results for LiCu2Pt after structural relaxation.

Unit cell a=2.6987 b=2.6987 c=26.0101 alpha=90.00 beta=90.00 gamma=120.00
Closest atoms and distances in Å follow each position.
Space group R-3m (No. 166, hexagonal axes)
Asymmetric unit:
Li 0.0000 0.0000 0.0000 [3 per cell]  6 Cu 2.66, 6 Li 2.70
Cu 0.0000 0.0000 0.2507 [6 per cell]  3 Li 2.66, 3 Pt 2.68, 6 Cu 2.70
Pt 0.0000 0.0000 0.5000 [3 per cell]  6 Cu 2.68, 6 Pt 2.70

Values from the calculation:
Energy of formation from the pure elements: -0.091 eV/atom
Uncorrected energy: -49.53 eV/cell
Energy above the most stable polymorph in this dataset: 185.7 meV/atom

=====

6.
DFT (PBE-GGA) results for La3Tb4Pm4 after structural relaxation.

Unit cell a=3.6385 b=9.5438 c=22.3219 alpha=90.00 beta=90.00 gamma=90.00
Closest atoms and distances in Å follow each position.
Space group Immm (No. 71)
Asymmetric unit:
La 0.0000 0.0000 0.0000 [2 per cell]  4 Tb 3.53, 2 La 3.64
La 0.0000 0.5000 0.1093 [4 per cell]  6 Tb 3.47-3.51, 2 La 3.64, 4 Pm 3.67
Tb 0.0000 0.0000 0.2581 [4 per cell]  2 La 3.47, 6 Pm 3.52-3.73, 2 Tb 3.64
Tb 0.0000 0.1827 0.5000 [4 per cell]  3 Tb 3.49-3.64, 6 La 3.51-3.53, 2 Pm 3.54
Pm 0.0000 0.3216 0.3530 [8 per cell]  3 Pm 3.41-3.64, 4 Tb 3.52-3.73, 2 La 3.67

Values from the calculation:
Energy of formation from the pure elements: 0.134 eV/atom
Uncorrected energy: -101.66 eV/cell
Energy above the most stable polymorph in this dataset: 0.0 meV/atom

=====

7.
DFT (PBE-GGA) results for ErZn4Os after structural relaxation.

Unit cell a=7.1911 b=7.1911 c=7.1911 alpha=90.00 beta=90.00 gamma=90.00
Closest atoms and distances in Å follow each position.
Space group F-43m (No. 216)
Asymmetric unit:
Er 0.0000 0.0000 0.0000 [4 per cell]  12 Zn 2.98, 4 Os 3.11
Zn 0.1237 0.1237 0.3763 [16 per cell]  6 Zn 2.52-2.57
Os 0.2500 0.2500 0.7500 [4 per cell]  12 Zn 2.98, 4 Er 3.11

Values from the calculation:
Energy of formation from the pure elements: -0.198 eV/atom
Uncorrected energy: -88.32 eV/cell

=====

8.
DFT (PBE-GGA) results for ErTh after structural relaxation.

Unit cell a=3.5734 b=3.5734 c=34.2630 alpha=90.00 beta=90.00 gamma=120.00
Closest atoms and distances in Å follow each position.
Space group R-3m (No. 166, hexagonal axes)
Asymmetric unit:
Er 0.0000 0.0000 0.1253 [6 per cell]  9 Er 3.51-3.57, 3 Th 3.53
Th 0.0000 0.0000 0.2915 [6 per cell]  3 Er 3.53, 9 Th 3.53-3.57

Values from the calculation:
Energy of formation from the pure elements: 0.006 eV/atom
Uncorrected energy: -71.82 eV/cell
Energy above the most stable polymorph in this dataset: 0.0 meV/atom

=====

| no. | density (g cm⁻³) | DOS(E_F) (states/eV per cell) |
| --- | --- | --- |
| 1 | 8.639 | 4.88 |
| 2 | 4.915 | 20.48 |
| 3 | 6.875 | 24.07 |
| 4 | 6.569 | 11.18 |
| 5 | 9.994 | 5.15 |
| 6 | 6.994 | 30.27 |
| 7 | 11.059 | 11.78 |
| 8 | 10.500 | 19.45 |